(one)
VASP calculation (PBE) on MnSnSbTe2 after structural relaxation.

The structure in CIF format:
```
data_MnSnSbTe2
_chemical_formula_sum 'Mn1 Sn1 Sb1 Te2'
_cell_length_a 5.305
_cell_length_b 5.305
_cell_length_c 5.137
_cell_angle_alpha 90.00
_cell_angle_beta 90.00
_cell_angle_gamma 90.00
_symmetry_space_group_name_H-M 'P 4/m m m'
_symmetry_Int_Tables_number 123
_symmetry_space_group_name_Hall '-P 4 2'
loop_
_atom_site_label
_atom_site_fract_x
_atom_site_fract_y
_atom_site_fract_z
Mn1 0.000 0.000 0.000
Sn1 0.500 0.500 0.500
Sb1 0.000 0.000 0.500
Te1 0.000 0.500 0.000
```

Output
* volume: 28.9 A^3/atom

=====

(two)
VASP calculation (PBE) on MnSnSbTe2 after structural relaxation.

The structure in CIF format:
```
data_MnSnSbTe2
_chemical_formula_sum 'Mn1 Sn1 Sb1 Te2'
_cell_length_a 5.687
_cell_length_b 5.687
_cell_length_c 5.673
_cell_angle_alpha 90.00
_cell_angle_beta 90.00
_cell_angle_gamma 90.00
_symmetry_space_group_name_H-M 'P 4/m m m'
_symmetry_Int_Tables_number 123
_symmetry_space_group_name_Hall '-P 4 2'
loop_
_atom_site_label
_atom_site_fract_x
_atom_site_fract_y
_atom_site_fract_z
Mn1 0.000 0.000 0.000
Sn1 0.500 0.500 0.500
Sb1 0.500 0.500 0.000
Te1 0.000 0.500 0.500
```

Output
* volume: 36.7 A^3/atom

=====

Which one is most stable, and which one is least stable? (one) is the most stable of them, while (two) is the least stable.

=====

(one)
VASP calculation (PBE) on MnSnSb2Te after structural relaxation.

The structure in CIF format:
```
data_MnSnSb2Te
_chemical_formula_sum 'Mn1 Sn1 Sb2 Te1'
_cell_length_a 5.648
_cell_length_b 5.648
_cell_length_c 5.677
_cell_angle_alpha 90.00
_cell_angle_beta 90.00
_cell_angle_gamma 90.00
_symmetry_space_group_name_H-M 'P 4/m m m'
_symmetry_Int_Tables_number 123
_symmetry_space_group_name_Hall '-P 4 2'
loop_
_atom_site_label
_atom_site_fract_x
_atom_site_fract_y
_atom_site_fract_z
Mn1 0.000 0.000 0.000
Sn1 0.500 0.500 0.500
Sb1 0.000 0.500 0.500
Te1 0.500 0.500 0.000
```

Output
* volume: 36.2 A^3/atom

=====

(two)
VASP calculation (PBE) on MnSnSb2Te after structural relaxation.

The structure in CIF format:
```
data_MnSnSb2Te
_chemical_formula_sum 'Mn1 Sn1 Sb2 Te1'
_cell_length_a 4.823
_cell_length_b 4.823
_cell_length_c 5.784
_cell_angle_alpha 90.00
_cell_angle_beta 90.00
_cell_angle_gamma 90.00
_symmetry_space_group_name_H-M 'P 4/m m m'
_symmetry_Int_Tables_number 123
_symmetry_space_group_name_Hall '-P 4 2'
loop_
_atom_site_label
_atom_site_fract_x
_atom_site_fract_y
_atom_site_fract_z
Mn1 0.000 0.000 0.000
Sn1 0.500 0.500 0.500
Sb1 0.000 0.500 0.000
Te1 0.000 0.000 0.500
```

Output
* volume: 26.9 A^3/atom

=====

Which one is most stable, and which one is least stable? (two) is the most stable of them, while (one) is the least stable.